Record 1
Here is a relaxed structure of K2LiMo from Alexandria. Energies are from PBE-GGA.

Lattice parameters (Å, degrees): 7.380 7.380 7.380 151.22 128.71 59.88
Fractional positions:
Li (0.458, 0.458, 0.000)
Mo (0.286, 0.786, 0.500)
K (0.732, 0.232, 0.500)
K (0.023, 0.023, 0.000)

Output
Space group   No. 44
Total moment   4.39 Bohr magnetons per cell
E_form   4.5 eV per formula unit
Density   2.01 g cm⁻³
D(E_F)   3.1 states/eV/cell

***

Record 2
Here is a relaxed structure of ErSiSe from Alexandria. Energies are from PBE-GGA.

Lattice parameters (Å, degrees): 3.762 3.762 9.456 101.47 101.47 90.00
Fractional positions:
Si (0.000, 0.500, 0.000)
Si (0.500, 0.000, 0.000)
Er (0.361, 0.361, 0.723)
Er (0.639, 0.639, 0.277)
Se (0.189, 0.189, 0.379)
Se (0.811, 0.811, 0.621)

Output
Space group   No. 139
Total moment   0.00 Bohr magnetons per cell
Energy relative to the elements, uncorrected   -1.09 eV per atom
Density   7.09 g cm⁻³
D(E_F)   2.0 states/eV/cell

***

Record 3
Here is a relaxed structure of Dy2Si2Ge from Alexandria. Energies are from PBE-GGA.

Lattice parameters (Å, degrees): 7.069 7.069 8.349 90.00 90.00 90.00
Fractional positions:
Dy (0.819, 0.319, 0.500)
Dy (0.181, 0.681, 0.000)
Dy (0.319, 0.181, 0.000)
Dy (0.819, 0.319, 0.000)
Dy (0.319, 0.181, 0.500)
Dy (0.681, 0.819, 0.500)
Dy (0.681, 0.819, 0.000)
Dy (0.181, 0.681, 0.500)
Si (0.881, 0.619, 0.250)
Si (0.619, 0.119, 0.750)
Si (0.381, 0.881, 0.750)
Si (0.119, 0.381, 0.250)
Si (0.119, 0.381, 0.750)
Si (0.881, 0.619, 0.750)
Si (0.381, 0.881, 0.250)
Si (0.619, 0.119, 0.250)
Ge (0.000, 0.000, 0.750)
Ge (0.500, 0.500, 0.750)
Ge (0.500, 0.500, 0.250)
Ge (0.000, 0.000, 0.250)

Output
Space group   No. 127
Total moment   0.00 Bohr magnetons per cell
Energy relative to the elements, uncorrected   -0.65 eV per atom
Density   7.22 g cm⁻³
D(E_F)   9.7 states/eV/cell

***

Record 4
Here is a relaxed structure of HfPdSe2N from Alexandria. Energies are from PBE-GGA.

Lattice parameters (Å, degrees): 5.239 5.239 3.982 90.00 90.00 90.00
Fractional positions:
Pd (0.500, 0.500, 0.500)
Hf (0.000, 0.000, 0.000)
N (0.000, 0.000, 0.500)
Se (0.000, 0.500, 0.000)
Se (0.500, 0.000, 0.000)

Output
Space group   No. 123
Total moment   0.00 Bohr magnetons per cell
Energy relative to the elements, uncorrected   0.15 eV per atom
Density   6.94 g cm⁻³
D(E_F)   7.6 states/eV/cell

***

Record 5
Here is a relaxed structure of Sm5Y2Tm6 from Alexandria. Energies are from PBE-GGA.

Lattice parameters (Å, degrees): 3.561 11.623 20.291 90.00 90.00 90.00
Fractional positions:
Sm (0.500, 0.800, 0.050)
Sm (0.500, 0.200, 0.950)
Sm (0.500, 0.410, 0.725)
Sm (0.500, 0.090, 0.225)
Sm (0.500, 0.500, 0.000)
Sm (0.500, 0.590, 0.275)
Sm (0.500, 0.000, 0.500)
Sm (0.500, 0.700, 0.550)
Sm (0.500, 0.910, 0.775)
Sm (0.500, 0.300, 0.450)
Tm (0.000, 0.060, 0.080)
Tm (0.500, 0.176, 0.634)
Tm (0.500, 0.824, 0.366)
Tm (0.000, 0.080, 0.367)
Tm (0.000, 0.580, 0.133)
Tm (0.000, 0.440, 0.580)
Tm (0.000, 0.420, 0.867)
Tm (0.000, 0.920, 0.633)
Tm (0.000, 0.560, 0.420)
Tm (0.000, 0.940, 0.920)
Tm (0.500, 0.324, 0.134)
Tm (0.500, 0.676, 0.866)
Y (0.000, 0.832, 0.212)
Y (0.000, 0.168, 0.788)
Y (0.000, 0.668, 0.712)
Y (0.000, 0.332, 0.288)

Output
Space group   No. 55
Total moment   0.00 Bohr magnetons per cell
E_form   1.3 eV per formula unit
Density   7.68 g cm⁻³
D(E_F)   33.8 states/eV/cell

***

Record 6
Here is a relaxed structure of Sm2Mg16Cd from Alexandria. Energies are from PBE-GGA.

Lattice parameters (Å, degrees): 7.775 7.775 7.775 82.17 82.17 82.17
Fractional positions:
Mg (0.843, 0.352, 0.352)
Mg (0.999, 0.503, 0.999)
Mg (0.000, 0.698, 0.303)
Mg (0.000, 0.303, 0.698)
Mg (0.503, 0.999, 0.999)
Mg (0.303, 0.698, 0.000)
Mg (0.303, 0.000, 0.698)
Mg (0.698, 0.303, 0.000)
Mg (0.999, 0.999, 0.503)
Mg (0.647, 0.162, 0.647)
Mg (0.093, 0.093, 0.093)
Mg (0.352, 0.352, 0.843)
Mg (0.162, 0.647, 0.647)
Mg (0.698, 0.000, 0.303)
Mg (0.647, 0.647, 0.162)
Mg (0.352, 0.843, 0.352)
Sm (0.673, 0.673, 0.673)
Sm (0.328, 0.328, 0.328)
Cd (0.897, 0.897, 0.897)

Output
Space group   No. 160
Total moment   0.00 Bohr magnetons per cell
E_form   -1.1 eV per formula unit
Density   2.91 g cm⁻³
D(E_F)   7.8 states/eV/cell

***

Record 7
Here is a relaxed structure of Pr2MgC2N6 from Alexandria. Energies are from PBE-GGA.

Lattice parameters (Å, degrees): 5.413 5.413 5.288 90.00 90.00 120.00
Fractional positions:
N (0.380, 0.190, 0.236)
N (0.810, 0.190, 0.236)
N (0.190, 0.810, 0.764)
N (0.620, 0.810, 0.764)
N (0.190, 0.380, 0.764)
N (0.810, 0.620, 0.236)
C (0.333, 0.667, 0.778)
C (0.667, 0.333, 0.222)
Pr (0.667, 0.333, 0.710)
Pr (0.333, 0.667, 0.290)
Mg (0.000, 0.000, 0.000)

Output
Space group   No. 164
Total moment   0.00 Bohr magnetons per cell
Energy relative to the elements, uncorrected   -0.45 eV per atom
Density   5.13 g cm⁻³
D(E_F)   5.2 states/eV/cell

***

Record 8
Here is a relaxed structure of AgPtS2Cl from Alexandria. Energies are from PBE-GGA.

Lattice parameters (Å, degrees): 4.702 4.702 5.042 90.00 90.00 90.00
Fractional positions:
S (0.500, 0.000, 0.000)
S (0.000, 0.500, 0.000)
Pt (0.000, 0.000, 0.000)
Cl (0.000, 0.000, 0.500)
Ag (0.500, 0.500, 0.500)

Output
Space group   No. 123
Total moment   1.16 Bohr magnetons per cell
Energy relative to the elements, uncorrected   0.37 eV per atom
Density   6.00 g cm⁻³
D(E_F)   5.2 states/eV/cell

***

Q: Which of these has the highest density?
A: Sm5Y2Tm6

***

Q: What is the total moment in the seventh record?
A: 0.00 Bohr magnetons per cell